[1]
ReAg2Ru | GGA-PBE | relaxed

Summary:
E_tot: -5.80 eV per atom
formation energy: 1.05 eV per atom
spin magnetization: 0.00 μB per atom
energy above the lowest structure with this stoichiometry: 0.804 eV/atom
symmetry: Fm-3m

abc: 4.471 4.471 4.471
angles: 60.00 60.00 60.00
Fractional positions:
Re  0.500  0.500  0.500
Ag  0.250  0.250  0.250
Ag  0.750  0.750  0.750
Ru  0.000  0.000  0.000

=====

[2]
FeAg2Ir | GGA-PBE | relaxed

Summary:
E_tot: -5.28 eV per atom
formation energy: 0.48 eV per atom
spin magnetization: 0.79 μB per atom
energy above the lowest structure with this stoichiometry: 0.282 eV/atom
symmetry: P4/mmm

abc: 2.714 2.714 8.467
angles: 90.00 90.00 90.00
Last column: magnetic moment on the atom in μB.
Fractional positions:
Ag  0.000  0.000  0.008  0.01
Ag  0.000  0.000  0.492  0.01
Fe  0.500  0.500  0.250  2.93
Ir  0.500  0.500  0.750  0.22

=====

[3]
Ce2MgGe | GGA-PBE | relaxed

Summary:
E_tot: -4.89 eV per atom
formation energy: -0.37 eV per atom
spin magnetization: 0.40 μB per atom
symmetry: P4/mmm

abc: 3.931 3.931 6.640
angles: 90.00 90.00 90.00
Last column: magnetic moment on the atom in μB.
Fractional positions:
Ge  0.500  0.500  0.000  -0.03
Mg  0.500  0.500  0.500  0.00
Ce  0.000  0.000  0.795  0.71
Ce  0.000  0.000  0.205  0.71

=====

Question: Which of these has the lowest spin magnetization?
Answer: ReAg2Ru